Compound: YHoCo4
Source: Alexandria via LeMat-Bulk
Functional: meta-GGA SCAN
Structure: PBEsol geometry Values from VASP.

Magnetization = 0.6508 μB per atom
Formation energy = -0.143 eV/atom

```
&SYSTEM
  ibrav = 0, nat = 6, ntyp = 3
/
ATOMIC_SPECIES
Y 88.91 Y.upf
Co 58.93 Co.upf
Ho 164.93 Ho.upf
ATOMIC_POSITIONS crystal
Y 0.000 0.000 0.000
Co 0.874 0.375 0.375
Co 0.375 0.375 0.375
Co 0.375 0.874 0.375
Co 0.375 0.375 0.874
Ho 0.750 0.750 0.750
CELL_PARAMETERS angstrom
-1.247 -4.511 1.659
3.079 -2.478 3.006
-1.184 -0.648 4.779
```